KIrRu | PBE-GGA | optimized geometry

Structure (POSCAR):
```
KIrRu
1.0
12.1977 0.0328 -0.0062
0.2847 4.5742 -0.0003
0.0451 -0.0027 2.7898
Ru K Ir
2 2 2
direct
0.2246 0.9949 0.6611
0.0479 0.3595 0.6730
0.8054 0.9074 0.6900
0.4670 0.4618 0.6437
0.2217 0.4878 0.1612
0.0508 0.8658 0.1729
```

Properties
Its space-group type is No. 1. The value obtained for the final energy is -5.8929 eV/atom.

***

TcAs2P | PBE-GGA | optimized geometry

Structure (POSCAR):
```
TcAs2P
1.0
-2.0736 -1.4313 1.8055
2.2780 -1.6376 1.3181
0.7359 4.7076 4.5770
As P Tc
2 1 1
direct
0.0000 0.0000 0.9774
0.0000 0.0000 0.5226
0.5000 0.5000 0.2500
0.5000 0.5000 0.7500
```

Properties
Its space-group type is No. 123. The value obtained for the final energy is -6.0598 eV/atom.

***

YZrPb | PBE-GGA | optimized geometry

Structure (POSCAR):
```
YZrPb
1.0
4.4077 0.0000 0.0000
0.0000 4.4077 0.0000
0.0000 0.0000 8.3411
Y Pb Zr
2 2 2
direct
0.0000 0.5000 0.8378
0.5000 0.0000 0.1622
0.0000 0.5000 0.2275
0.5000 0.0000 0.7725
0.5000 0.5000 0.5000
0.0000 0.0000 0.5000
```

Properties
Its space-group type is No. 129. The value obtained for the final energy is -6.6677 eV/atom.

***

LaZn2BBr | PBE-GGA | optimized geometry

Structure (POSCAR):
```
LaZn2BBr
1.0
-2.0194 0.0472 -3.5833
-2.2447 -6.0231 1.1857
-3.2934 1.5969 1.8771
Zn B Br La
2 1 1 1
direct
0.0000 0.0000 0.5000
0.5000 0.0000 0.0000
0.0000 0.0000 0.0000
0.0000 0.5000 0.0000
0.5000 0.5000 0.5000
```

Properties
The uncorrected formation energy comes out at -0.105 eV/atom. Its space-group type is No. 123.

***

LiHBr | PBE-GGA | optimized geometry

Structure (POSCAR):
```
LiHBr
1.0
4.2644 0.0000 0.0000
0.0000 4.4252 0.0000
0.0000 0.0000 13.1232
Li H Br
4 4 4
direct
0.5000 0.0000 0.2646
0.5000 0.5000 0.7646
0.0000 0.0000 0.9804
0.0000 0.5000 0.4804
0.0000 0.0000 0.4602
0.0000 0.5000 0.9602
0.0000 0.0000 0.5181
0.0000 0.5000 0.0181
0.5000 0.0000 0.8770
0.5000 0.5000 0.3770
0.0000 0.0000 0.1673
0.0000 0.5000 0.6673
```

Properties
Its space-group type is No. 38. The value obtained for the final energy is -3.3023 eV/atom.

***

YTh5Sb6 | PBE-GGA | optimized geometry

Structure (POSCAR):
```
YTh5Sb6
1.0
-1.7030 -2.0738 7.3021
-5.4026 -5.5814 -0.0799
2.1366 -7.4708 -0.2408
Y Sb Th
1 6 5
direct
0.0000 0.0000 0.0000
0.7543 0.0814 0.3283
0.2457 0.5903 0.3283
0.2491 0.2445 0.0000
0.7509 0.7555 0.0000
0.7543 0.4097 0.6717
0.2457 0.9186 0.6717
0.5000 0.1689 0.6621
0.0000 0.3344 0.3312
0.5000 0.5000 0.0000
0.0000 0.6656 0.6688
0.5000 0.8311 0.3379
```

Properties
The uncorrected formation energy comes out at -0.947 eV/atom. Its space-group type is No. 12.

***

CsGaPb | PBE-GGA | optimized geometry

Structure (POSCAR):
```
CsGaPb
1.0
-0.2474 8.3535 -3.9485
-5.1561 0.4365 1.2466
2.0926 3.5632 7.4074
Pb Cs Ga
4 4 4
direct
0.1613 0.2500 0.4069
0.3387 0.7500 0.9069
0.8387 0.7500 0.5931
0.6613 0.2500 0.0931
0.0094 0.2500 0.8371
0.4906 0.7500 0.3371
0.9906 0.7500 0.1629
0.5094 0.2500 0.6629
0.8391 0.2500 0.4084
0.6609 0.7500 0.9084
0.1609 0.7500 0.5916
0.3391 0.2500 0.0916
```

Properties
Its space-group type is No. 62. The value obtained for the final energy is -2.6210 eV/atom.

***

Dy2ThMoC4 | PBE-GGA | optimized geometry

Structure (POSCAR):
```
Dy2ThMoC4
1.0
-0.7318 -1.9804 2.8291
2.5838 -3.9041 -4.2669
11.1292 2.3904 4.5521
Dy Th Mo C
4 2 2 8
direct
0.3697 0.7394 0.5403
0.6303 0.2606 0.0403
0.6303 0.2606 0.4597
0.3697 0.7394 0.9597
0.0991 0.1982 0.7500
0.9009 0.8018 0.2500
0.8362 0.6724 0.7500
0.1638 0.3276 0.2500
0.2655 0.5310 0.1302
0.7345 0.4690 0.6302
0.7345 0.4690 0.8698
0.2655 0.5310 0.3698
0.0000 0.0000 0.5000
0.0000 0.0000 0.0000
0.4315 0.8629 0.7500
0.5685 0.1371 0.2500
```

Properties
Its space-group type is No. 63. The value obtained for the final energy is -8.1346 eV/atom.

***

CsKAuBr | PBE-GGA | optimized geometry

Structure (POSCAR):
```
CsKAuBr
1.0
-3.1759 0.2040 -5.0724
2.4102 -1.9525 -5.1221
-1.9791 -5.0690 -2.4992
Cs K Au Br
1 1 1 1
direct
0.5000 0.5000 0.5000
0.0000 0.0000 0.0000
0.2500 0.2500 0.2500
0.7500 0.7500 0.7500
```

Properties
The uncorrected formation energy comes out at -0.968 eV/atom. Its space-group type is No. 216.

***

Ba2CaTb | PBE-GGA | optimized geometry

Structure (POSCAR):
```
Ba2CaTb
1.0
-0.0644 -2.7197 -3.5858
-4.0645 -3.9760 3.0887
-5.0338 3.2822 -2.3990
Ca Tb Ba
1 1 2
direct
0.5000 0.5000 0.5000
0.5000 0.0000 0.0000
0.0000 0.0000 0.5000
0.0000 0.5000 0.0000
```

Properties
Its space-group type is No. 123. The value obtained for the final energy is -2.4197 eV/atom.

***

Pa2Si3Ni12Rh | PBE-GGA | optimized geometry

Structure (POSCAR):
```
Pa2Si3Ni12Rh
1.0
6.0690 -1.3187 -0.9353
1.8505 5.9285 -0.9353
1.8505 1.0771 5.9044
Pa Si Ni Rh
2 3 12 1
direct
0.6679 0.6679 0.6679
0.3321 0.3321 0.3321
0.5000 0.0000 0.0000
0.0000 0.5000 0.0000
0.0000 0.0000 0.5000
0.3855 0.3855 0.9034
0.8018 0.8018 0.3114
0.3114 0.8018 0.8018
0.9034 0.3855 0.3855
0.8018 0.3114 0.8018
0.3855 0.9034 0.3855
0.6145 0.6145 0.0966
0.1982 0.1982 0.6886
0.6886 0.1982 0.1982
0.0966 0.6145 0.6145
0.1982 0.6886 0.1982
0.6145 0.0966 0.6145
0.0000 0.0000 0.0000
```

Properties
The uncorrected formation energy comes out at -0.164 eV/atom. Its space-group type is No. 166.

***

LaPm6Pr3 | PBE-GGA | optimized geometry

Structure (POSCAR):
```
LaPm6Pr3
1.0
-9.4861 2.9694 -1.9871
-7.3055 -1.4326 6.8796
-4.8068 4.0986 3.2170
La Pm Pr
1 6 3
direct
0.9000 0.9000 0.3000
0.8999 0.5744 0.3001
0.2257 0.8999 0.3001
0.5744 0.2257 0.3001
0.0759 0.3998 0.8001
0.7242 0.0759 0.8001
0.3998 0.7242 0.8001
0.4000 0.4000 0.8000
0.6507 0.6507 0.0478
0.1494 0.1494 0.5517
```

Properties
Its space-group type is No. 155. The value obtained for the final energy is -4.5346 eV/atom.